# Y4C2Se, optimized geometry, DFT GGA-PBE
data_Y4C2Se
_chemical_formula_sum 'Y12 C6 Se3'
_space_group_name_H-M_alt 'R -3 m'
_space_group_IT_number 166
_space_group_name_Hall '-R 3 2"'
_cell_length_a 3.7090
_cell_length_b 3.7090
_cell_length_c 38.6360
_cell_angle_alpha 90.00
_cell_angle_beta 90.00
_cell_angle_gamma 120.00
loop_
_atom_site_label
_atom_site_type_symbol
_atom_site_fract_x
_atom_site_fract_y
_atom_site_fract_z
_atom_site_occupancy
Y1 Y 0.0000 0.0000 0.1195 1
Y2 Y 0.0000 0.0000 0.2830 1
C1 C 0.0000 0.0000 0.4202 1
Se1 Se 0.0000 0.0000 0.0000 1
# formation energy (no corrections)	-0.78	eV per atom
# calculated volume	21.9	Å³/atom